1.
Entry from the Alexandria database: a crystal of HgIrOs2 relaxed with PBEsol (SCAN).

Output
Space-group type   I4/mmm (139)
N(E_F)   0.99 states/eV per atom
DFT formation energy   0.8388 eV per atom
Magnetization   0.0 μB/cell

a = 3.876 Å, b = 3.876 Å, c = 4.879 Å
α = 113.40°, β = 113.40°, γ = 90.00°
Positions (direct):
1 Hg 0.500 0.500 0.000
2 Ir 0.000 0.000 0.000
3 Os 0.750 0.250 0.500
4 Os 0.250 0.750 0.500

=====

2.
Entry from the Alexandria database: a crystal of Hg3IrOs relaxed with PBEsol (SCAN).

Output
Space-group type   Pm-3m (221)
N(E_F)   0.73 states/eV per atom
DFT formation energy   1.8008 eV per atom
Magnetization   3.8 μB/cell

a = 5.062 Å, b = 5.062 Å, c = 5.062 Å
α = 90.00°, β = 90.00°, γ = 90.00°
Positions (direct):
1 Ir 0.500 0.500 0.500
2 Os 0.000 0.000 0.000
3 Hg 0.000 0.500 0.000
4 Hg 0.000 0.000 0.500
5 Hg 0.500 0.000 0.000

=====

3.
Entry from the Alexandria database: a crystal of HgP2Ir relaxed with PBEsol (SCAN).

Output
Space-group type   Imm2 (44)
N(E_F)   0.27 states/eV per atom
DFT formation energy   0.0718 eV per atom
Magnetization   0.0 μB/cell

a = 2.814 Å, b = 2.822 Å, c = 9.441 Å
α = 98.60°, β = 98.57°, γ = 90.00°
Positions (direct):
1 Hg 0.437 0.437 0.874
2 Ir 0.197 0.697 0.395
3 P 0.091 0.091 0.182
4 P 0.774 0.274 0.549

=====

- Which of these has the highest N(E_F)?
  HgIrOs2

=====

- The highest N(E_F) belongs to which entry?
  HgIrOs2

=====

- Which formula does entry 2 have?
  Hg3IrOs